A plane-wave DFT calculation with PBE was carried out for crystalline SrErCd17 at its relaxed geometry.

The value obtained for the energy of formation is -124 meV per atom. The value obtained for the density of states at the Fermi level is 7.37 states/eV/f.u.

It has space group R3m (No. 160, hexagonal axes), with a = 10.1377 Å, b = 10.1377 Å, c = 15.1219 Å, α = 90.00°, β = 90.00° and γ = 120.00°. The inequivalent atoms are Sr at (0.0000, 0.0000, 0.0000), Er at (0.0000, 0.0000, 0.3390), Cd at (0.0000, 0.0000, 0.5588), Cd at (0.0000, 0.0000, 0.7554), Cd at (0.0351, 0.3651, 0.3325), Cd at (0.1764, 0.3529, 0.1413), Cd at (0.1816, 0.3632, 0.5049) and Cd at (0.1951, 0.3902, 0.8506).


A plane-wave DFT calculation with PBE was carried out for crystalline Cs3Ho2MnSe6 at its relaxed geometry.

The value obtained for the formation energy without anion corrections is -1.335 eV per atom. The value obtained for the density of states at the Fermi level is 0.32 states/eV/f.u.

It has space group C2/m (No. 12), with a = 7.3770 Å, b = 12.2809 Å, c = 8.7075 Å, α = 90.00°, β = 107.34° and γ = 90.00°. The inequivalent atoms are Cs at (0.0000, 0.0000, 0.0000), Cs at (0.0000, 0.3263, 0.0000), Ho at (0.0000, 0.1625, 0.5000), Mn at (0.0000, 0.5000, 0.5000), Se at (0.2092, 0.3472, 0.6704) and Se at (0.2288, 0.0000, 0.6963).


A plane-wave DFT calculation with PBE was carried out for crystalline Nb2ZnHgAs at its relaxed geometry.

The value obtained for the energy of formation is 880 meV per atom. The value obtained for the density of states at the Fermi level is 5.75 states/eV/f.u.

It has space group P4/mmm (No. 123), with a = 4.8227 Å, b = 4.8227 Å, c = 5.0284 Å, α = 90.00°, β = 90.00° and γ = 90.00°. The inequivalent atoms are Nb at (0.0000, 0.5000, 0.0000), Zn at (0.0000, 0.0000, 0.5000), Hg at (0.5000, 0.5000, 0.5000) and As at (0.5000, 0.5000, 0.0000).


A plane-wave DFT calculation with PBE was carried out for crystalline Pm3Ge2O8 at its relaxed geometry.

The value obtained for the formation energy without anion corrections is -2.539 eV per atom. The value obtained for the density of states at the Fermi level is 2.95 states/eV/f.u.

It has space group Cmce (No. 64), with a = 7.5025 Å, b = 11.4060 Å, c = 8.4026 Å, α = 90.00°, β = 90.00° and γ = 90.00°. The inequivalent atoms are Pm at (0.0000, 0.0000, 0.0000), Pm at (0.2500, 0.2125, 0.2500), Ge at (0.0000, 0.0736, 0.6099), O at (0.0000, 0.0671, 0.2556), O at (0.0000, 0.1698, 0.7809) and O at (0.2143, 0.1279, 0.5260).


What is the formula in the second record?
Cs3Ho2MnSe6